BrO2F | PBE | optimized geometry

## Properties
The calculation puts the uncorrected formation energy at 748 meV/atom. As for the energy: -2.6173 eV per atom.

Unit cell a=5.0317 b=5.0317 c=10.7132 alpha=90.00 beta=90.00 gamma=90.00
Last column: nearest neighbours and their distance in Å.
Space group I-42d (No. 122)
Symmetry-distinct sites (fractional):
Br1 0.0000 0.0000 0.0000 [4 per cell]  4 O 1.92
O1 0.1107 0.2500 0.1250 [8 per cell]  2 Br 1.92
F1 0.0000 0.0000 0.5000 [4 per cell]  4 O 2.69



CeAl2Zn10 | PBE | optimized geometry

## Properties
For the energy of formation from the pure elements, the calculation gives -14.8 kJ/mol of atoms. As for the energy: -2.1653 eV per atom.

Unit cell a=5.3170 b=12.6152 c=12.6963 alpha=90.00 beta=90.00 gamma=90.00
Last column: nearest neighbours and their distance in Å.
Space group Fmmm (No. 69)
Symmetry-distinct sites (fractional):
Ce1 0.0000 0.0000 0.0000 [4 per cell]  16 Zn 3.18-3.44, 4 Al 3.42
Al1 0.2500 0.2500 0.0000 [8 per cell]  8 Zn 2.64-2.78, 2 Al 2.66
Zn1 0.0000 0.1073 0.3899 [16 per cell]  6 Zn 2.60-2.85, 2 Al 2.64
Zn2 0.0000 0.1772 0.1780 [16 per cell]  5 Zn 2.59-2.85, 2 Al 2.78
Zn3 0.2500 0.0000 0.2500 [8 per cell]  10 Zn 2.60-2.76



GdDyErTh | PBE | optimized geometry

## Properties
For the energy of formation from the pure elements, the calculation gives 12.7 kJ/mol of atoms. As for the energy: -7.5351 eV per atom.

Unit cell a=7.9996 b=7.9996 c=7.9996 alpha=90.00 beta=90.00 gamma=90.00
Last column: nearest neighbours and their distance in Å.
Space group F-43m (No. 216)
Symmetry-distinct sites (fractional):
Gd1 0.0000 0.0000 0.0000 [4 per cell]  4 Dy 3.46, 4 Er 3.46
Dy1 0.2500 0.2500 0.7500 [4 per cell]  4 Th 3.46, 4 Gd 3.46
Er1 0.2500 0.2500 0.2500 [4 per cell]  4 Gd 3.46, 4 Th 3.46
Th1 0.0000 0.0000 0.5000 [4 per cell]  4 Er 3.46, 4 Dy 3.46



DyEr2Rh2 | PBE | optimized geometry

## Properties
For the energy of formation from the pure elements, the calculation gives -70.3 kJ/mol of atoms. As for the energy: -6.4143 eV per atom.

Unit cell a=3.9014 b=12.8394 c=9.5484 alpha=90.00 beta=90.00 gamma=90.00
Last column: nearest neighbours and their distance in Å.
Space group Cmc2_1 (No. 36)
Symmetry-distinct sites (fractional):
Dy1 0.0000 0.1298 0.0000 [4 per cell]  4 Rh 2.78-2.95
Er1 0.0000 0.1583 0.3724 [4 per cell]  4 Rh 2.74-2.92
Er2 0.0000 0.3991 0.1742 [4 per cell]  4 Rh 2.72-2.80
Rh1 0.0000 0.2577 0.6749 [4 per cell]  4 Er 2.80-2.92, 2 Dy 2.95
Rh2 0.0000 0.4886 0.9153 [4 per cell]  4 Er 2.72-2.74, 2 Dy 2.78



SrAl2HIr | PBE | optimized geometry

## Properties
As for the energy: -2.8534 eV per atom.

Unit cell a=5.3823 b=5.3823 c=3.6060 alpha=90.00 beta=90.00 gamma=90.00
Last column: nearest neighbours and their distance in Å.
Space group P4/mmm (No. 123)
Symmetry-distinct sites (fractional):
Sr1 0.0000 0.0000 0.0000 [1 per cell]  2 H 1.80
Al1 0.0000 0.5000 0.0000 [2 per cell]  2 Sr 2.69
H1 0.0000 0.0000 0.5000 [1 per cell]  2 Sr 1.80
Ir1 0.5000 0.5000 0.5000 [1 per cell]  8 Al 3.24, 2 Ir 3.61



Tb2PrBi | PBE | optimized geometry

## Properties
For the energy of formation from the pure elements, the calculation gives 1.8 kJ/mol of atoms. As for the energy: -4.4617 eV per atom.

Unit cell a=3.5877 b=3.5877 c=36.5191 alpha=90.00 beta=90.00 gamma=120.00
Last column: nearest neighbours and their distance in Å.
Space group R-3m (No. 166, hexagonal axes)
Symmetry-distinct sites (fractional):
Tb1 0.0000 0.0000 0.0866 [6 per cell]  1 Bi 3.16
Pr1 0.0000 0.0000 0.5000 [3 per cell]  6 Tb 3.58, 6 Pr 3.59
Bi1 0.0000 0.0000 0.0000 [3 per cell]  2 Tb 3.16



LiCoSi2 | PBE | optimized geometry

## Properties
The calculation puts the uncorrected formation energy at -289 meV/atom. As for the energy: -5.2554 eV per atom.

Unit cell a=2.6449 b=2.6449 c=7.3424 alpha=90.00 beta=90.00 gamma=90.00
Last column: nearest neighbours and their distance in Å.
Space group P4/mmm (No. 123)
Symmetry-distinct sites (fractional):
Li1 0.0000 0.0000 0.0000 [1 per cell]  4 Li 2.64, 8 Si 2.84
Co1 0.0000 0.0000 0.5000 [1 per cell]  8 Si 2.42, 4 Co 2.64
Si1 0.5000 0.5000 0.2909 [2 per cell]  4 Co 2.42, 4 Si 2.64



SrCeO2 | PBE | optimized geometry

## Properties
The calculation puts the uncorrected formation energy at -2693 meV/atom. As for the energy: -7.0758 eV per atom.

Unit cell a=3.5706 b=3.5706 c=18.0055 alpha=90.00 beta=90.00 gamma=120.00
Last column: nearest neighbours and their distance in Å.
Space group R-3m (No. 166, hexagonal axes)
Symmetry-distinct sites (fractional):
Sr1 0.0000 0.0000 0.0000 [3 per cell]  6 O 2.59
Ce1 0.0000 0.0000 0.5000 [3 per cell]  6 O 2.51
O1 0.0000 0.0000 0.2466 [6 per cell]  3 Ce 2.51, 3 Sr 2.59



Rb3Er2InSe6 | PBE | optimized geometry

## Properties
The calculation puts the uncorrected formation energy at -1409 meV/atom. As for the energy: -4.3817 eV per atom.

Unit cell a=7.2680 b=12.5852 c=8.3608 alpha=90.00 beta=106.85 gamma=90.00
Last column: nearest neighbours and their distance in Å.
Space group C2/m (No. 12)
Symmetry-distinct sites (fractional):
Rb1 0.0000 0.0000 0.0000 [2 per cell]  6 Se 3.44-3.47
Rb2 0.0000 0.3328 0.0000 [4 per cell]  6 Se 3.44-3.46
Er1 0.0000 0.1666 0.5000 [4 per cell]  6 Se 2.88
In1 0.0000 0.5000 0.5000 [2 per cell]  6 Se 2.85
Se1 0.2292 0.3351 0.6929 [8 per cell]  1 In 2.85, 2 Er 2.88
Se2 0.2344 0.0000 0.6934 [4 per cell]  1 In 2.85, 2 Er 2.88



Ho5Er4Th2 | PBE | optimized geometry

## Properties
For the energy of formation from the pure elements, the calculation gives 5.2 kJ/mol of atoms. As for the energy: -5.0355 eV per atom.

Unit cell a=3.5143 b=8.7811 c=11.1470 alpha=88.96 beta=89.30 gamma=89.70
Last column: nearest neighbours and their distance in Å.
Space group P-1 (No. 2)
Symmetry-distinct sites (fractional):
Ho1 0.0000 0.0000 0.0000 [1 per cell]  4 Er 3.17-3.41, 4 Ho 3.41-3.51
Ho2 0.2439 0.1812 0.4786 [2 per cell]  5 Er 3.39-3.60, 3 Th 3.43-3.52, 4 Ho 3.51-3.67
Ho3 0.2677 0.3583 0.9133 [2 per cell]  5 Ho 3.41-3.68, 5 Er 3.48-3.77, 2 Th 3.57-3.67
Er1 0.2474 0.7316 0.7959 [2 per cell]  6 Ho 3.41-3.77, 2 Th 3.48-3.51, 4 Er 3.51-3.66
Er2 0.2907 0.9166 0.2617 [2 per cell]  5 Ho 3.17-3.53, 1 Th 3.44, 3 Er 3.51-3.54
Th1 0.2522 0.5446 0.3618 [2 per cell]  5 Ho 3.43-3.67, 3 Er 3.44-3.51, 4 Th 3.51-3.63



RbBNF2 | PBE | optimized geometry

## Properties
The calculation puts the uncorrected formation energy at 1053 meV/atom. As for the energy: -2.8895 eV per atom.

Unit cell a=5.2031 b=5.2031 c=5.3288 alpha=90.00 beta=90.00 gamma=90.00
Last column: nearest neighbours and their distance in Å.
Space group P4/mmm (No. 123)
Symmetry-distinct sites (fractional):
Rb1 0.0000 0.0000 0.0000 [1 per cell]  4 F 2.60, 2 N 2.66
B1 0.5000 0.5000 0.5000 [1 per cell]  4 N 3.68, 8 F 3.72
N1 0.0000 0.0000 0.5000 [1 per cell]  2 Rb 2.66
F1 0.0000 0.5000 0.0000 [2 per cell]  2 Rb 2.60



Cs2RbTeBr | PBE | optimized geometry

## Properties
The calculation puts the uncorrected formation energy at -1099 meV/atom. As for the energy: -2.5972 eV per atom.

Unit cell a=6.6938 b=6.6938 c=6.3772 alpha=90.00 beta=90.00 gamma=90.00
Last column: nearest neighbours and their distance in Å.
Space group P4/mmm (No. 123)
Symmetry-distinct sites (fractional):
Cs1 0.0000 0.5000 0.0000 [2 per cell]  2 Br 3.35
Rb1 0.0000 0.0000 0.5000 [1 per cell]  2 Br 3.19
Te1 0.5000 0.5000 0.5000 [1 per cell]  8 Cs 4.62, 4 Rb 4.73
Br1 0.0000 0.0000 0.0000 [1 per cell]  2 Rb 3.19, 4 Cs 3.35